No. 1
Density functional theory data (GGA-PBE) for a geometry-optimized AcPuZn4 structure.

POSCAR file:
```
AcPuZn4
1.0
0.0000 4.0064 4.0064
4.0064 0.0000 4.0064
4.0064 4.0064 0.0000
Ac Pu Zn
1 1 4
Cartesian
0.0000 0.0000 0.0000
6.0096 6.0096 6.0096
3.0103 3.0103 3.0103
5.0025 5.0025 3.0103
5.0025 3.0103 5.0025
3.0103 5.0025 5.0025
```

Summary:
Density of states at the Fermi level, states/eV/atom: 2.202
Total magnetization, μB/f.u.: 5.39
E_form, eV/f.u.: -0.81

No. 2
Density functional theory data (GGA-PBE) for a geometry-optimized Ga2Bi2Br structure.

POSCAR file:
```
Ga2Bi2Br
1.0
-2.0663 2.0663 8.2376
2.0663 -2.0663 8.2376
2.0663 2.0663 -8.2376
Ga Bi Br
2 2 1
Cartesian
2.0663 0.0000 4.1188
0.0000 2.0663 4.1188
0.0000 0.0000 2.0558
0.0000 0.0000 14.4194
0.0000 0.0000 8.2376
```

Summary:
Density of states at the Fermi level, states/eV/atom: 0.224
Formation energy from raw total energies, kcal/mol of atoms: -3.17
Total magnetization, μB/f.u.: 0.00
Energy relative to the lowest polymorph listed for this composition, eV per formula unit: 0.00

No. 3
Density functional theory data (GGA-PBE) for a geometry-optimized TcRh6W structure.

POSCAR file:
```
TcRh6W
1.0
5.4490 0.0000 0.0000
0.0000 5.4490 0.0000
0.0000 0.0000 3.8721
Tc Rh W
1 6 1
Cartesian
0.0000 0.0000 0.0000
0.0000 2.7245 0.0000
1.3626 1.3626 1.9361
1.3626 4.0864 1.9361
2.7245 0.0000 0.0000
4.0864 1.3626 1.9361
4.0864 4.0864 1.9361
2.7245 2.7245 0.0000
```

Summary:
Density of states at the Fermi level, states/eV/atom: 0.967
Total magnetization, μB/f.u.: 1.07
E_form, eV/f.u.: -0.93
Energy relative to the lowest polymorph listed for this composition, eV per formula unit: 0.00

No. 4
Density functional theory data (GGA-PBE) for a geometry-optimized LaZrPCl structure.

POSCAR file:
```
LaZrPCl
1.0
2.1431 1.2373 13.5590
-2.1431 1.2373 13.5590
0.0000 -2.4746 13.5590
La Zr P Cl
2 2 2 2
Cartesian
0.0000 0.0000 3.5072
0.0000 0.0000 37.1699
0.0000 0.0000 12.6274
0.0000 0.0000 28.0497
0.0000 0.0000 15.3593
0.0000 0.0000 25.3178
0.0000 0.0000 8.3912
0.0000 0.0000 32.2859
```

Summary:
Density of states at the Fermi level, states/eV/atom: 0.472
Formation energy from raw total energies, kcal/mol of atoms: -35.77
Total magnetization, μB/f.u.: 0.00

No. 5
Density functional theory data (GGA-PBE) for a geometry-optimized Nd12Sm7Tm structure.

POSCAR file:
```
Nd12Sm7Tm
1.0
9.8554 5.6900 2.1034
-9.8554 5.6900 2.1034
0.0000 -11.3800 2.1034
Nd Sm Tm
12 7 1
Cartesian
-4.0552 -4.3561 2.1034
-5.8001 -1.3339 2.1034
0.0000 -4.0354 1.2751
-3.4948 2.0177 1.2751
-5.8001 1.3339 4.2068
-1.7449 5.6900 2.1034
3.4947 2.0177 1.2751
-3.4947 -2.0177 5.0351
-4.0552 4.3561 4.2068
1.7449 5.6900 2.1034
3.4947 -2.0177 5.0351
0.0000 4.0354 5.0351
0.0000 0.0000 0.0000
-2.4397 -1.4086 1.8536
2.4397 -1.4086 1.8536
0.0000 2.8172 1.8536
0.0000 -2.8172 4.4567
-2.4397 1.4086 4.4567
2.4397 1.4086 4.4567
0.0000 0.0000 3.1551
```

Summary:
Density of states at the Fermi level, states/eV/atom: 1.283
Total magnetization, μB/f.u.: 0.00
E_form, eV/f.u.: 4.41

No. 6
Density functional theory data (GGA-PBE) for a geometry-optimized HfBe4Mo structure.

POSCAR file:
```
HfBe4Mo
1.0
0.0000 3.2658 3.2658
3.2658 0.0000 3.2658
3.2658 3.2658 0.0000
Hf Be Mo
1 4 1
Cartesian
0.0000 0.0000 0.0000
2.4588 2.4588 2.4588
4.0727 4.0727 2.4588
4.0727 2.4588 4.0727
2.4588 4.0727 4.0727
4.8987 4.8987 4.8987
```

Summary:
Density of states at the Fermi level, states/eV/atom: 0.951
Total magnetization, μB/f.u.: 0.00
E_form, eV/f.u.: -1.16